4
Lattice="5.581 0.001 -0.001 4.838 2.782 -0.001 1.403 0.375 5.036" Properties=species:S:1:pos:R:3 comment="CaTaAl2, relaxed, DFT GGA-PBE" polymorph_energy_mev_per_atom=238 formation_enthalpy_0k_ev_per_atom=0.10 volume_a3_per_atom=19.5 n_ef_per_ev_fu=2.942 pbc="T T T"
Ca 5.784 1.545 2.807
Al 0.309 0.083 0.235
Al 8.534 2.280 3.598
Ta 3.105 0.830 0.912